1.
CsTbCoBr6 | GGA-PBE | relaxed

Computed properties:
space-group type	No. 5
raw formation energy	-127.66	kJ per mole of atoms

```
CsTbCoBr6
1.0
-3.922 -0.628 -5.886
-2.026 -6.421 -2.255
-6.815 0.540 4.511
Cs Tb Co Br
1 1 1 6
Direct
0.000 0.000 0.000
0.333 0.333 0.500
0.667 0.667 0.500
0.978 0.385 0.310
0.385 0.978 0.690
0.629 0.391 0.694
0.979 0.636 0.690
0.391 0.629 0.306
0.636 0.979 0.310
```

=====

2.
TaMn2AgPb | GGA-PBE | relaxed

Computed properties:
energy of formation	1.152	eV per atom
space-group type	No. 123

```
TaMn2AgPb
1.0
4.692 0.000 0.000
0.000 5.345 0.000
0.000 0.000 4.692
Pb Mn Ag Ta
1 2 1 1
Direct
0.500 0.500 0.500
0.000 0.000 0.500
0.500 0.000 0.000
0.000 0.500 0.000
0.000 0.000 0.000
```

=====

3.
Th2ZnGe2 | GGA-PBE | relaxed

Computed properties:
energy of formation	-0.590	eV per atom
space-group type	No. 71

```
Th2ZnGe2
1.0
3.860 0.004 1.642
1.287 5.234 2.321
-0.209 0.438 5.849
Th Zn Ge
2 1 2
Direct
0.286 0.214 0.714
0.714 0.786 0.286
0.500 0.500 0.000
0.000 0.216 0.284
0.000 0.784 0.716
```

=====

4.
InHRh3 | GGA-PBE | relaxed

Computed properties:
total DFT energy (no corrections)	-0.2712	Ry per atom
space-group type	No. 221

```
InHRh3
1.0
-1.003 3.430 3.429
-3.835 1.582 -2.704
-2.968 -3.203 2.336
H Rh In
1 3 1
Direct
0.500 0.500 0.500
0.000 0.500 0.000
0.000 0.000 0.500
0.500 0.000 0.000
0.000 0.000 0.000
```

=====

5.
TbPr3Ho2S6 | GGA-PBE | relaxed

Computed properties:
space-group type	No. 12
raw formation energy	-194.22	kJ per mole of atoms

```
TbPr3Ho2S6
1.0
6.875 -0.010 -0.002
-3.445 5.949 -0.002
-1.146 -1.984 6.661
Tb Pr Ho S
1 3 2 6
Direct
0.000 0.000 0.000
0.166 0.834 0.500
0.834 0.166 0.500
0.500 0.500 0.500
0.333 0.667 0.000
0.667 0.333 0.000
0.923 0.587 0.769
0.741 0.741 0.230
0.077 0.413 0.231
0.587 0.923 0.769
0.259 0.259 0.770
0.413 0.077 0.231
```

=====

6.
SrCaIn2 | GGA-PBE | relaxed

Computed properties:
energy of formation	-0.350	eV per atom
space-group type	No. 44

```
SrCaIn2
1.0
6.699 0.180 0.045
3.057 5.963 -0.045
-4.328 -3.945 3.258
Sr Ca In
1 1 2
Direct
0.519 0.519 0.000
0.231 0.731 0.500
0.973 0.973 0.000
0.776 0.276 0.500
```